1.
First-principles (PBE) data for an optimized crystal structure of Fe3Pd8, as listed in the Alexandria database.

Geometry as POSCAR:
```
Fe3Pd8
1.0
-2.167 3.170 -0.055
-2.162 -3.770 1.952
5.440 3.848 7.463
Fe Pd
3 8
direct
0.000 0.000 0.000
0.907 0.813 0.362
0.093 0.187 0.638
0.725 0.450 0.091
0.275 0.550 0.909
0.546 0.091 0.818
0.454 0.909 0.182
0.817 0.634 0.726
0.183 0.366 0.274
0.631 0.263 0.455
0.369 0.737 0.545
```

## Properties
ΔE_f   -99.4 kJ/mol of formula units

***

2.
First-principles (PBE) data for an optimized crystal structure of Ce2ErBi2, as listed in the Alexandria database.

Geometry as POSCAR:
```
Ce2ErBi2
1.0
4.187 -0.580 0.350
0.550 4.191 0.350
1.606 1.224 8.464
Ce Er Bi
2 1 2
direct
0.252 0.748 0.500
0.748 0.252 0.500
0.000 0.000 0.000
0.401 0.401 0.196
0.599 0.599 0.804
```

## Properties
ΔE_f   -171.8 kJ/mol of formula units

***

3.
First-principles (PBE) data for an optimized crystal structure of RuAuCl2, as listed in the Alexandria database.

Geometry as POSCAR:
```
RuAuCl2
1.0
7.102 0.132 0.005
4.711 5.317 -0.005
-5.345 -3.942 2.520
Ru Au Cl
1 1 2
direct
0.250 0.750 0.500
0.750 0.250 0.500
0.105 0.105 0.000
0.395 0.395 0.000
```

## Properties
Uncorrected formation energy   0.045 eV/atom

***

4.
First-principles (PBE) data for an optimized crystal structure of V2TeSe, as listed in the Alexandria database.

Geometry as POSCAR:
```
V2TeSe
1.0
-2.354 -3.801 -0.975
0.477 -3.721 2.619
-3.424 -1.333 2.726
Te Se V
1 1 2
direct
0.500 0.500 0.500
0.000 0.000 0.000
0.250 0.250 0.250
0.750 0.750 0.750
```

## Properties
Uncorrected formation energy   -0.021 eV/atom

***

5.
First-principles (PBE) data for an optimized crystal structure of Ca2AlSn2, as listed in the Alexandria database.

Geometry as POSCAR:
```
Ca2AlSn2
1.0
-8.360 3.773 -1.955
-3.792 -4.675 7.192
0.682 2.561 2.025
Ca Sn Al
4 4 2
direct
0.374 0.874 0.000
0.874 0.626 0.000
0.626 0.126 0.000
0.126 0.374 0.000
0.176 0.676 0.500
0.676 0.824 0.500
0.824 0.324 0.500
0.324 0.176 0.500
0.000 0.000 0.000
0.500 0.500 0.000
```

## Properties
ΔE_f   -66.0 kJ/mol of formula units

***

6.
First-principles (PBE) data for an optimized crystal structure of Mn2TlGa, as listed in the Alexandria database.

Geometry as POSCAR:
```
Mn2TlGa
1.0
3.918 0.000 0.000
0.000 3.918 0.000
1.959 1.959 8.936
Tl Mn Ga
2 4 2
direct
0.000 0.000 0.000
0.750 0.250 0.500
0.512 0.125 0.250
0.238 0.625 0.250
0.375 0.488 0.750
0.875 0.762 0.750
0.500 0.500 0.000
0.250 0.750 0.500
```

## Properties
ΔE_f   289.3 kJ/mol of formula units

***

7.
First-principles (PBE) data for an optimized crystal structure of HoP2Pt7Au2, as listed in the Alexandria database.

Geometry as POSCAR:
```
HoP2Pt7Au2
1.0
3.955 -0.003 0.002
0.002 3.955 0.002
1.949 1.947 13.999
Ho P Pt Au
1 2 7 2
direct
0.000 0.000 0.000
0.624 0.624 0.749
0.376 0.376 0.251
0.500 0.500 0.000
0.298 0.298 0.408
0.702 0.702 0.592
0.922 0.422 0.157
0.422 0.922 0.157
0.578 0.078 0.843
0.078 0.578 0.843
0.802 0.802 0.401
0.198 0.198 0.599
```

## Properties
ΔE_f   -567.6 kJ/mol of formula units

***

8.
First-principles (PBE) data for an optimized crystal structure of PmPrCdBi, as listed in the Alexandria database.

Geometry as POSCAR:
```
PmPrCdBi
1.0
-3.682 4.057 0.754
-3.334 1.514 -4.144
-5.399 -1.173 0.226
Pr Cd Bi Pm
1 1 1 1
direct
0.000 0.000 0.000
0.750 0.750 0.750
0.250 0.250 0.250
0.500 0.500 0.500
```

## Properties
ΔE_f   -190.6 kJ/mol of formula units

***

9.
First-principles (PBE) data for an optimized crystal structure of Zn2ReRu, as listed in the Alexandria database.

Geometry as POSCAR:
```
Zn2ReRu
1.0
2.715 0.006 0.000
-1.197 2.437 0.000
0.000 0.000 8.899
Re Ru Zn
1 1 2
direct
0.000 0.000 0.507
0.500 0.500 0.747
0.000 0.000 0.997
0.500 0.500 0.249
```

## Properties
ΔE_f   70.0 kJ/mol of formula units

***

10.
First-principles (PBE) data for an optimized crystal structure of NdAl2Au2, as listed in the Alexandria database.

Geometry as POSCAR:
```
NdAl2Au2
1.0
4.426 0.000 0.000
0.000 4.426 0.000
0.000 0.000 10.486
Nd Al Au
2 4 4
direct
0.000 0.500 0.248
0.500 0.000 0.752
0.000 0.000 0.500
0.500 0.500 0.500
0.000 0.500 0.869
0.500 0.000 0.131
0.000 0.000 0.000
0.500 0.500 0.000
0.000 0.500 0.630
0.500 0.000 0.370
```

## Properties
ΔE_f   -361.1 kJ/mol of formula units

***

11.
First-principles (PBE) data for an optimized crystal structure of Nd3HoEr6Tm2, as listed in the Alexandria database.

Geometry as POSCAR:
```
Nd3HoEr6Tm2
1.0
-1.960 5.213 2.611
-1.479 -1.258 -5.836
-8.415 -6.705 4.658
Nd Ho Er Tm
3 1 6 2
direct
0.167 0.833 0.500
0.833 0.167 0.500
0.500 0.500 0.500
0.000 0.000 0.000
0.918 0.585 0.755
0.748 0.748 0.245
0.082 0.415 0.245
0.585 0.918 0.755
0.252 0.252 0.755
0.415 0.082 0.245
0.333 0.667 0.000
0.667 0.333 0.000
```

## Properties
ΔE_f   27.0 kJ/mol of formula units

***

12.
First-principles (PBE) data for an optimized crystal structure of Ti2CrP2, as listed in the Alexandria database.

Geometry as POSCAR:
```
Ti2CrP2
1.0
6.139 0.000 0.000
0.000 6.139 0.000
0.000 0.000 3.537
Cr P Ti
2 4 4
direct
0.000 0.000 0.000
0.500 0.500 0.000
0.360 0.860 0.000
0.860 0.640 0.000
0.640 0.140 0.000
0.140 0.360 0.000
0.165 0.665 0.500
0.665 0.835 0.500
0.835 0.335 0.500
0.335 0.165 0.500
```

## Properties
ΔE_f   -437.7 kJ/mol of formula units

***

| no. | N(E_F) (states/eV/f.u.) | mass density (g/cm3) |
| --- | --- | --- |
| 1 | 8.17 | 10.48 |
| 2 | 7.96 | 9.78 |
| 3 | 3.99 | 6.55 |
| 4 | 3.81 | 7.56 |
| 5 | 2.06 | 3.90 |
| 6 | 4.48 | 9.30 |
| 7 | 3.05 | 15.06 |
| 8 | 2.72 | 8.43 |
| 9 | 2.19 | 11.78 |
| 10 | 2.15 | 9.57 |
| 11 | 16.41 | 8.51 |
| 12 | 4.37 | 5.22 |